(1)
Crystalline BaZn2Pt at its relaxed geometry. Source: Alexandria via LeMat-Bulk, functional PBEsol.

Structure (POSCAR):
```
BaZn2Pt
1.0
4.9950 0.0000 0.0000
2.4975 4.3258 0.0000
2.4975 1.4419 4.0784
Ba Pt Zn
1 1 2
Direct
0.5000 0.5000 0.5000
0.2500 0.2500 0.2500
0.0000 0.0000 0.0000
0.7500 0.7500 0.7500
```

Computed properties:
The value obtained for the density of states at the Fermi level is 1.09 states/eV/cell. As for the space group: F-43m, No. 216. Its total magnetization is 0.00 μB per cell. Its energy relative to the elements is -0.10 eV per formula unit.

---

(2)
Crystalline BaZn2Pt at its relaxed geometry. Source: Alexandria via LeMat-Bulk, functional PBEsol.

Structure (POSCAR):
```
BaZn2Pt
1.0
3.3523 0.0000 0.0000
0.0000 3.3523 0.0000
0.0000 0.0000 7.2786
Ba Pt Zn
1 1 2
Direct
0.5000 0.5000 0.0000
0.5000 0.5000 0.5000
0.0000 0.0000 0.6723
0.0000 0.0000 0.3277
```

Computed properties:
The value obtained for the density of states at the Fermi level is 1.69 states/eV/cell. As for the space group: P4/mmm, No. 123. Its total magnetization is 0.00 μB per cell. Its energy relative to the elements is -0.92 eV per formula unit.